Entry a
VASP calculation (PBE) on an optimized crystal structure of Tm6Ni2Ir.

Calculated values
Space-group type   P2_1/c, No. 14
Calculated volume   442 Å³ per cell

Unit cell a=6.3442 b=7.0386 c=9.9089 alpha=90.00 beta=92.02 gamma=90.00
With the nearest neighbours (Å) after each atom.
Fractional positions:
1 Tm 0.8385 0.9490 0.2467  1 Ir 2.70, 2 Ni 2.73-2.78
2 Tm 0.6615 0.4490 0.2533  1 Ir 2.70, 2 Ni 2.73-2.78
3 Ir 0.0000 0.0000 0.5000  6 Tm 2.66-2.70
4 Ni 0.4428 0.1150 0.2592  6 Tm 2.73-2.91
5 Tm 0.1788 0.3286 0.4224  1 Ir 2.70, 2 Ni 2.79-2.81
6 Ni 0.9428 0.3850 0.7592  6 Tm 2.73-2.91
7 Tm 0.3443 0.8168 0.4257  1 Ir 2.66, 2 Ni 2.76-2.91
8 Tm 0.3385 0.5510 0.7467  1 Ir 2.70, 2 Ni 2.73-2.78
9 Tm 0.6557 0.1832 0.5743  1 Ir 2.66, 2 Ni 2.76-2.91
10 Tm 0.8443 0.6832 0.9257  1 Ir 2.66, 2 Ni 2.76-2.91
11 Ir 0.5000 0.5000 0.0000  6 Tm 2.66-2.70
12 Tm 0.1557 0.3168 0.0743  1 Ir 2.66, 2 Ni 2.76-2.91
13 Tm 0.1615 0.0510 0.7533  1 Ir 2.70, 2 Ni 2.73-2.78
14 Ni 0.0572 0.6150 0.2408  6 Tm 2.73-2.91
15 Tm 0.6788 0.1714 0.9224  1 Ir 2.70, 2 Ni 2.79-2.81
16 Ni 0.5572 0.8850 0.7408  6 Tm 2.73-2.91
17 Tm 0.8212 0.6714 0.5776  1 Ir 2.70, 2 Ni 2.79-2.81
18 Tm 0.3212 0.8286 0.0776  1 Ir 2.70, 2 Ni 2.79-2.81


Entry b
VASP calculation (PBE) on an optimized crystal structure of Tm6Ni2Ir.

Calculated values
Space-group type   Immm, No. 71
Calculated volume   404 Å³ per cell

Unit cell a=8.0681 b=8.0681 c=8.0681 alpha=108.87 beta=109.69 gamma=109.86
With the nearest neighbours (Å) after each atom.
Fractional positions:
1 Ir 0.0000 0.0000 0.0000  8 Tm 2.93-2.95, 2 Ni 3.18
2 Ni 0.5000 0.3790 0.8790  1 Ni 2.27
3 Tm 0.0873 0.2628 0.8245  3 Ni 2.89-2.96, 1 Ir 2.93
4 Tm 0.1854 0.7446 0.9300  1 Ni 2.81, 2 Ir 2.87-2.95
5 Tm 0.6947 0.0236 0.3289  3 Ni 2.66-2.82
6 Tm 0.8146 0.2554 0.0700  1 Ni 2.81, 2 Ir 2.87-2.95
7 Tm 0.6947 0.3658 0.6711  3 Ni 2.66-2.82
8 Tm 0.4383 0.2628 0.1755  3 Ni 2.89-2.96, 1 Ir 2.93
9 Ni 0.3426 0.0000 0.3426  8 Tm 2.81-2.89, 1 Ni 2.93
10 Ir 0.0000 0.5000 0.5000  4 Tm 2.87
11 Ni 0.6574 0.0000 0.6574  8 Tm 2.81-2.89, 1 Ni 2.93
12 Tm 0.3053 0.6342 0.3289  3 Ni 2.66-2.82
13 Tm 0.1854 0.2554 0.4408  1 Ni 2.81, 2 Ir 2.87-2.95
14 Tm 0.5617 0.7372 0.8245  3 Ni 2.89-2.96, 1 Ir 2.93
15 Tm 0.3053 0.9764 0.6711  3 Ni 2.66-2.82
16 Tm 0.9127 0.7372 0.1755  3 Ni 2.89-2.96, 1 Ir 2.93
17 Ni 0.5000 0.6210 0.1210  1 Ni 2.27
18 Tm 0.8146 0.7446 0.5592  1 Ni 2.81, 2 Ir 2.87-2.95


Most stable structure, least stable structure: entry b, entry a.


Entry a
VASP calculation (PBE) on an optimized crystal structure of V2NiIr2.

Calculated values
Space-group type   C2/m, No. 12
Calculated volume   77 Å³ per cell

Unit cell a=4.3618 b=4.3618 c=4.6131 alpha=89.05 beta=89.05 gamma=118.21
With the nearest neighbours (Å) after each atom.
Fractional positions:
1 V 0.5147 0.5147 0.7311  1 V 2.14
2 Ir 0.8304 0.1696 0.5000  3 Ir 2.54, 2 Ni 2.63, 4 V 2.70-2.71
3 V 0.4853 0.4853 0.2689  1 V 2.14
4 Ir 0.1696 0.8304 0.5000  3 Ir 2.54, 2 Ni 2.63, 4 V 2.70-2.71
5 Ni 0.0000 0.0000 0.0000  4 V 2.54-2.58, 4 Ir 2.63


Entry b
VASP calculation (PBE) on an optimized crystal structure of V2NiIr2.

Calculated values
Space-group type   P4/mbm, No. 127
Calculated volume   144 Å³ per cell

Unit cell a=7.1546 b=7.1546 c=2.8077 alpha=90.00 beta=90.00 gamma=90.00
With the nearest neighbours (Å) after each atom.
Fractional positions:
1 Ir 0.6373 0.1373 0.0000  6 V 2.45-2.58
2 Ir 0.8627 0.6373 0.0000  6 V 2.45-2.58
3 Ni 0.0000 0.0000 0.0000  4 Ir 2.77, 2 Ni 2.81, 8 V 3.02
4 Ni 0.5000 0.5000 0.0000  4 Ir 2.77, 2 Ni 2.81, 8 V 3.02
5 V 0.6637 0.8363 0.5000  6 Ir 2.45-2.58
6 V 0.1637 0.6637 0.5000  6 Ir 2.45-2.58
7 Ir 0.3627 0.8627 0.0000  6 V 2.45-2.58
8 V 0.8363 0.3363 0.5000  6 Ir 2.45-2.58
9 Ir 0.1373 0.3627 0.0000  6 V 2.45-2.58
10 V 0.3363 0.1637 0.5000  6 Ir 2.45-2.58


Most stable structure, least stable structure: entry b, entry a.


Entry a
VASP calculation (PBE) on an optimized crystal structure of VNi3Ir.

Calculated values
Space-group type   Pm-3m, No. 221
Calculated volume   72 Å³ per cell

Unit cell a=4.1585 b=4.1585 c=4.1585 alpha=90.00 beta=90.00 gamma=90.00
With the nearest neighbours (Å) after each atom.
Fractional positions:
1 Ni 0.5000 0.0000 0.0000  2 V 2.08
2 Ir 0.5000 0.5000 0.5000  12 Ni 2.94
3 V 0.0000 0.0000 0.0000  6 Ni 2.08
4 Ni 0.0000 0.0000 0.5000  2 V 2.08
5 Ni 0.0000 0.5000 0.0000  2 V 2.08


Entry b
VASP calculation (PBE) on an optimized crystal structure of VNi3Ir.

Calculated values
Space-group type   Cm, No. 8
Calculated volume   60 Å³ per cell

Unit cell a=4.4691 b=4.4512 c=3.6314 alpha=65.94 beta=66.05 gamma=80.02
With the nearest neighbours (Å) after each atom.
Fractional positions:
1 V 0.7601 0.5573 0.3640  9 Ni 2.53-2.62, 3 Ir 2.54-2.61
2 Ni 0.1734 0.7597 0.5562  3 V 2.53-2.62, 6 Ni 2.53-2.65, 3 Ir 2.57-2.60
3 Ni 0.3617 0.3611 0.1620  6 Ni 2.55-2.57, 3 Ir 2.55-2.58, 3 V 2.57-2.58
4 Ni 0.5541 0.9622 0.7645  6 Ni 2.53-2.65, 3 Ir 2.57-2.59, 3 V 2.57-2.59
5 Ir 0.9578 0.1666 0.9604  3 V 2.54-2.61, 9 Ni 2.55-2.60


Most stable structure, least stable structure: entry b, entry a.


Entry a
VASP calculation (PBE) on an optimized crystal structure of V2Ni6Ir.

Calculated values
Space-group type   Amm2, No. 38
Calculated volume   106 Å³ per cell

Unit cell a=2.5592 b=6.9491 c=6.9491 alpha=120.53 beta=90.00 gamma=90.00
With the nearest neighbours (Å) after each atom.
Fractional positions:
1 Ni 0.5000 0.5578 0.9175  9 Ni 2.47-2.66, 4 V 2.65-2.67
2 Ni 0.0000 0.2238 0.8780  2 V 2.35-2.43, 7 Ni 2.46-2.56
3 Ni 0.5000 0.9175 0.5578  9 Ni 2.47-2.66, 4 V 2.65-2.67
4 V 0.0000 0.2495 0.5538  4 Ni 2.35-2.51, 2 V 2.56
5 V 0.0000 0.5538 0.2495  4 Ni 2.35-2.51, 2 V 2.56
6 Ir 0.5000 0.1922 0.1922  2 Ir 2.56, 7 Ni 2.58-2.63, 4 V 2.66
7 Ni 0.0000 0.8780 0.2238  2 V 2.35-2.43, 7 Ni 2.46-2.56
8 Ni 0.0000 0.8615 0.8615  10 Ni 2.41-2.66, 2 Ir 2.61
9 Ni 0.5000 0.5659 0.5659  6 Ni 2.41-2.56, 4 V 2.51, 1 Ir 2.58


Entry b
VASP calculation (PBE) on an optimized crystal structure of V2Ni6Ir.

Calculated values
Space-group type   C2/m, No. 12
Calculated volume   105 Å³ per cell

Unit cell a=3.5786 b=4.4577 c=7.5664 alpha=74.08 beta=76.32 gamma=66.33
With the nearest neighbours (Å) after each atom.
Fractional positions:
1 Ir 0.0000 0.5000 0.5000  8 Ni 2.56-2.57, 4 V 2.58
2 Ni 0.6672 0.0532 0.6124  5 Ni 2.53-2.56, 3 Ir 2.56-2.57, 4 V 2.57-2.63
3 Ni 0.0005 0.1631 0.8358  8 Ni 2.51-2.57, 3 V 2.52-2.56, 1 Ir 2.57
4 V 0.6716 0.3893 0.2675  10 Ni 2.47-2.63, 2 Ir 2.58
5 Ni 0.6656 0.7218 0.9469  3 V 2.47-2.49, 9 Ni 2.51-2.57
6 Ni 0.3328 0.9468 0.3876  5 Ni 2.53-2.56, 3 Ir 2.56-2.57, 4 V 2.57-2.63
7 Ni 0.3344 0.2782 0.0531  3 V 2.47-2.49, 9 Ni 2.51-2.57
8 V 0.3284 0.6107 0.7325  10 Ni 2.47-2.63, 2 Ir 2.58
9 Ni 0.9995 0.8369 0.1642  8 Ni 2.51-2.57, 3 V 2.52-2.56, 1 Ir 2.57


Most stable structure, least stable structure: entry b, entry a.


Entry a
VASP calculation (PBE) on an optimized crystal structure of VNiIr3.

Calculated values
Space-group type   P2_1/m, No. 11
Calculated volume   136 Å³ per cell

Unit cell a=4.6531 b=4.2554 c=7.2540 alpha=90.00 beta=109.19 gamma=90.00
With the nearest neighbours (Å) after each atom.
Fractional positions:
1 Ni 0.2747 0.3444 0.0060  9 Ir 2.60-2.82, 3 V 2.62-2.70
2 Ir 0.5020 0.3444 0.4124  2 V 2.60-2.80, 3 Ni 2.61-2.79, 7 Ir 2.64-2.84
3 V 0.0800 0.3444 0.6119  9 Ir 2.59-2.84, 3 Ni 2.62-2.70
4 V 0.9457 0.8444 0.0026  9 Ir 2.59-2.84, 3 Ni 2.62-2.70
5 Ir 0.3318 0.8444 0.8143  4 V 2.59-2.73, 4 Ni 2.60-2.82, 4 Ir 2.66-2.74
6 Ni 0.7509 0.8444 0.6085  9 Ir 2.60-2.82, 3 V 2.62-2.70
7 Ir 0.6938 0.3444 0.8002  4 V 2.59-2.73, 4 Ni 2.60-2.82, 4 Ir 2.66-2.74
8 Ir 0.5237 0.8444 0.2022  2 V 2.60-2.80, 3 Ni 2.61-2.79, 7 Ir 2.64-2.84
9 Ir 0.8709 0.3444 0.1980  3 V 2.64-2.84, 2 Ni 2.66-2.68, 7 Ir 2.67-2.84
10 Ir 0.1548 0.8444 0.4166  3 V 2.64-2.84, 2 Ni 2.66-2.68, 7 Ir 2.67-2.84


Entry b
VASP calculation (PBE) on an optimized crystal structure of VNiIr3.

Calculated values
Space-group type   Pm-3m, No. 221
Calculated volume   90 Å³ per cell

Unit cell a=4.4883 b=4.4883 c=4.4883 alpha=90.00 beta=90.00 gamma=90.00
With the nearest neighbours (Å) after each atom.
Fractional positions:
1 V 0.0000 0.0000 0.0000  6 Ir 2.24
2 Ir 0.0000 0.5000 0.0000  2 V 2.24
3 Ir 0.5000 0.0000 0.0000  2 V 2.24
4 Ir 0.0000 0.0000 0.5000  2 V 2.24
5 Ni 0.5000 0.5000 0.5000  12 Ir 3.17


Most stable structure, least stable structure: entry a, entry b.


Entry a
VASP calculation (PBE) on an optimized crystal structure of VNi6Ir.

Calculated values
Space-group type   R-3m, No. 166
Calculated volume   116 Å³ per cell

Unit cell a=4.7159 b=4.7159 c=6.6246 alpha=69.15 beta=69.15 gamma=60.00
With the nearest neighbours (Å) after each atom.
Fractional positions:
1 Ni 0.9308 0.9308 0.6976  1 V 2.29, 5 Ni 2.31-2.40
2 Ni 0.0692 0.5592 0.3024  1 V 2.29, 5 Ni 2.31-2.40
3 V 0.0000 0.0000 0.0000  6 Ni 2.29
4 Ni 0.0692 0.0692 0.3024  1 V 2.29, 5 Ni 2.31-2.40
5 Ni 0.9308 0.4408 0.6976  1 V 2.29, 5 Ni 2.31-2.40
6 Ni 0.4408 0.9308 0.6976  1 V 2.29, 5 Ni 2.31-2.40
7 Ni 0.5592 0.0692 0.3024  1 V 2.29, 5 Ni 2.31-2.40
8 Ir 0.5000 0.5000 0.5000  12 Ni 2.64


Entry b
VASP calculation (PBE) on an optimized crystal structure of VNi6Ir.

Calculated values
Space-group type   Amm2, No. 38
Calculated volume   93 Å³ per cell

Unit cell a=3.5387 b=5.1209 c=5.1209 alpha=89.42 beta=90.00 gamma=90.00
With the nearest neighbours (Å) after each atom.
Fractional positions:
1 Ir 0.0000 0.1292 0.8708  2 V 2.51, 10 Ni 2.56-2.58
2 Ni 0.5000 0.8667 0.6215  8 Ni 2.50-2.61, 2 V 2.51-2.61, 2 Ir 2.57
3 Ni 0.5000 0.3785 0.1333  8 Ni 2.50-2.61, 2 V 2.51-2.61, 2 Ir 2.57
4 Ni 0.0000 0.6251 0.3749  10 Ni 2.49-2.56, 2 V 2.52
5 Ni 0.0000 0.6299 0.8749  8 Ni 2.50-2.56, 2 V 2.55, 2 Ir 2.56
6 Ni 0.5000 0.8687 0.1313  10 Ni 2.49-2.61, 2 Ir 2.58
7 Ni 0.0000 0.1251 0.3701  8 Ni 2.50-2.56, 2 V 2.55, 2 Ir 2.56
8 V 0.5000 0.3769 0.6231  10 Ni 2.51-2.61, 2 Ir 2.51


Most stable structure, least stable structure: entry b, entry a.